#i
Entry from Alexandria: a relaxed LaTaSe crystal (PBE).

Cell: 3.504 3.504 6.786 Å, 90.00 90.00 120.00°
Positions (direct):
Ta1 0.667 0.333 0.623
La1 0.000 0.000 0.004
Se1 0.333 0.667 0.373

=====

#ii
Entry from Alexandria: a relaxed LaTaSe crystal (PBE).

Cell: 4.495 4.495 4.172 Å, 90.00 90.00 120.00°
Positions (direct):
La1 0.000 0.000 0.000
Se1 0.667 0.333 0.500
Ta1 0.333 0.667 0.500

=====

Stability summary: most stable #i, least stable #ii.